No. 1
VASP calculation (SCAN) on a PBEsol-optimized structure of Ta2POs.

Unit cell a=3.926 b=3.932 c=3.932 alpha=90.00 beta=90.00 gamma=90.00
Atoms (fractional coordinates):
Os 0.500 0.500 0.500
P 0.500 0.000 0.000
Ta 0.000 0.000 0.500
Ta 0.000 0.500 0.000

Summary:
* ρ: 15.956 g/cm3
* magnetic moment: 0.0 μB/f.u.

No. 2
VASP calculation (SCAN) on a PBEsol-optimized structure of Ta2POs.

Unit cell a=3.180 b=3.180 c=7.548 alpha=77.84 beta=77.84 gamma=60.00
Atoms (fractional coordinates):
Os 0.500 0.500 0.500
P 0.000 0.000 0.000
Ta 0.258 0.258 0.225
Ta 0.742 0.742 0.775

Summary:
* ρ: 15.105 g/cm3
* magnetic moment: 0.0 μB/f.u.

No. 3
VASP calculation (SCAN) on a PBEsol-optimized structure of Ta2POs.

Unit cell a=3.086 b=4.526 c=4.526 alpha=104.24 beta=90.00 gamma=90.00
Atoms (fractional coordinates):
Os 0.500 0.000 0.000
P 0.500 0.500 0.500
Ta 0.000 0.500 0.000
Ta 0.000 0.000 0.500

Summary:
* ρ: 15.802 g/cm3
* magnetic moment: 0.0 μB/f.u.

No. 4
VASP calculation (SCAN) on a PBEsol-optimized structure of Ta2POs.

Unit cell a=2.876 b=2.876 c=8.829 alpha=80.63 beta=80.63 gamma=60.00
Atoms (fractional coordinates):
Os 0.510 0.510 0.470
P 0.243 0.243 0.270
Ta 0.992 0.992 0.025
Ta 0.755 0.755 0.735

Summary:
* ρ: 15.584 g/cm3
* magnetic moment: 0.0 μB/f.u.

Sequential formation enthalpy at 0 K output: -69; -55; -245; 53 meV per atom